A relaxed TiTe2Pd crystal, computed with PBE.

Values from the calculation:
As for the crystal system: trigonal. For the density, the calculation gives 6.69 Mg/m³. As for the calculated total energy: -5.1708 eV per atom. The uncorrected formation energy comes out at -328 meV/atom.

```
data_TiTe2Pd
_chemical_formula_sum 'Ti3 Te6 Pd3'
_cell_length_a 3.6803
_cell_length_b 3.6803
_cell_length_c 26.0096
_cell_angle_alpha 90.00
_cell_angle_beta 90.00
_cell_angle_gamma 120.00
_symmetry_space_group_name_H-M 'R -3 m'
_symmetry_Int_Tables_number 166
_symmetry_space_group_name_Hall '-R 3 2"'
loop_
_atom_site_label
_atom_site_fract_x
_atom_site_fract_y
_atom_site_fract_z
Ti1 0.0000 0.0000 0.0000
Te1 0.0000 0.0000 0.4009
Pd1 0.0000 0.0000 0.5000
```


A relaxed Ce3TiS7 crystal, computed with PBE.

Values from the calculation:
As for the crystal system: orthorhombic. For the density, the calculation gives 4.39 Mg/m³. As for the calculated total energy: -6.6816 eV per atom. The uncorrected formation energy comes out at -1719 meV/atom.

```
data_Ce3TiS7
_chemical_formula_sum 'Ce12 Ti4 S28'
_cell_length_a 9.039
_cell_length_b 12.768
_cell_length_c 9.079
_cell_angle_alpha 90.00
_cell_angle_beta 90.00
_cell_angle_gamma 90.00
_symmetry_space_group_name_H-M 'C 2 2 21'
_symmetry_Int_Tables_number 20
_symmetry_space_group_name_Hall 'C 2c 2'
loop_
_atom_site_label
_atom_site_fract_x
_atom_site_fract_y
_atom_site_fract_z
Ce1 0.006 0.000 0.000
Ce2 0.223 0.279 0.752
Ti1 0.003 0.500 0.000
S1 0.000 0.131 0.250
S2 0.000 0.136 0.750
S3 0.000 0.438 0.750
S4 0.204 0.375 0.036
S5 0.206 0.376 0.467
```


A relaxed AlVSe crystal, computed with PBE.

Values from the calculation:
As for the crystal system: monoclinic. For the density, the calculation gives 4.18 Mg/m³. As for the calculated total energy: -5.5228 eV per atom. The uncorrected formation energy comes out at -74 meV/atom.

```
data_AlVSe
_chemical_formula_sum 'Al2 V2 Se2'
_cell_length_a 4.614
_cell_length_b 5.174
_cell_length_c 5.701
_cell_angle_alpha 90.00
_cell_angle_beta 113.80
_cell_angle_gamma 90.00
_symmetry_space_group_name_H-M 'P 1 21/m 1'
_symmetry_Int_Tables_number 11
_symmetry_space_group_name_Hall '-P 2yb'
loop_
_atom_site_label
_atom_site_fract_x
_atom_site_fract_y
_atom_site_fract_z
Al1 0.059 0.250 0.118
V1 0.500 0.000 0.000
Se1 0.308 0.250 0.617
```


A relaxed Sr3LiMg8 crystal, computed with PBE.

Values from the calculation:
The formation enthalpy at 0 K is -0.05 eV/atom. As for the crystal system: trigonal. For the density, the calculation gives 2.15 Mg/m³. As for the calculated total energy: -1.6973 eV per atom.

```
data_Sr3LiMg8
_chemical_formula_sum 'Sr9 Li3 Mg24'
_cell_length_a 6.3061
_cell_length_b 6.3061
_cell_length_c 31.1725
_cell_angle_alpha 90.00
_cell_angle_beta 90.00
_cell_angle_gamma 120.00
_symmetry_space_group_name_H-M 'R 3 m'
_symmetry_Int_Tables_number 160
_symmetry_space_group_name_Hall 'R 3 -2"'
loop_
_atom_site_label
_atom_site_fract_x
_atom_site_fract_y
_atom_site_fract_z
Sr1 0.0000 0.0000 0.0000
Sr2 0.0000 0.0000 0.1269
Sr3 0.0000 0.0000 0.5070
Li1 0.0000 0.0000 0.6291
Mg1 0.0000 0.0000 0.3147
Mg2 0.0000 0.0000 0.8158
Mg3 0.0001 0.5000 0.5665
Mg4 0.1677 0.3354 0.3973
```


A relaxed MgIn2B2Rh5 crystal, computed with PBE.

Values from the calculation:
The formation enthalpy at 0 K is -0.41 eV/atom. As for the crystal system: tetragonal. For the density, the calculation gives 9.42 Mg/m³. As for the calculated total energy: -6.1279 eV per atom.

```
data_MgIn2B2Rh5
_chemical_formula_sum 'Mg2 In4 B4 Rh10'
_cell_length_a 9.669
_cell_length_b 9.669
_cell_length_c 2.980
_cell_angle_alpha 90.00
_cell_angle_beta 90.00
_cell_angle_gamma 90.00
_symmetry_space_group_name_H-M 'P 4/m b m'
_symmetry_Int_Tables_number 127
_symmetry_space_group_name_Hall '-P 4 2ab'
loop_
_atom_site_label
_atom_site_fract_x
_atom_site_fract_y
_atom_site_fract_z
Mg1 0.000 0.000 0.000
In1 0.179 0.321 0.000
B1 0.124 0.624 0.000
Rh1 0.000 0.500 0.500
Rh2 0.069 0.777 0.500
```


A relaxed Tl5AgF6 crystal, computed with PBE.

Values from the calculation:
As for the crystal system: monoclinic. For the density, the calculation gives 7.70 Mg/m³. As for the calculated total energy: -3.7482 eV per atom. The uncorrected formation energy comes out at -1589 meV/atom.

```
data_Tl5AgF6
_chemical_formula_sum 'Tl10 Ag2 F12'
_cell_length_a 6.779
_cell_length_b 11.793
_cell_length_c 6.976
_cell_angle_alpha 90.00
_cell_angle_beta 105.99
_cell_angle_gamma 90.00
_symmetry_space_group_name_H-M 'C 1 2/m 1'
_symmetry_Int_Tables_number 12
_symmetry_space_group_name_Hall '-C 2y'
loop_
_atom_site_label
_atom_site_fract_x
_atom_site_fract_y
_atom_site_fract_z
Tl1 0.000 0.000 0.000
Tl2 0.000 0.178 0.500
Tl3 0.000 0.343 0.000
Ag1 0.000 0.500 0.500
F1 0.211 0.180 0.210
F2 0.242 0.500 0.353
```